# PBE-GGA Sr2Al4AgGe3, optimized geometry
# electronic total energy	-3.8014	eV per atom
# calculated formation energy	-0.298	eV per atom
data_Sr2Al4AgGe3
_space_group_name_H-M_alt 'P -4 m 2'
_space_group_IT_number 115
_cell_length_a 4.594
_cell_length_b 4.594
_cell_length_c 10.496
_cell_angle_alpha 90.00
_cell_angle_beta 90.00
_cell_angle_gamma 90.00
loop_
_space_group_symop_operation_xyz
'x,y,z'
'y,-x,-z'
'-x,-y,z'
'-y,x,-z'
'-x,y,z'
'-y,-x,-z'
'x,-y,z'
'y,x,-z'
loop_
_atom_site_label
_atom_site_fract_x
_atom_site_fract_y
_atom_site_fract_z
Sr1 0.000 0.500 0.243
Al1 0.000 0.000 0.500
Al2 0.000 0.500 0.877
Al3 0.500 0.500 0.500
Ag1 0.500 0.500 0.000
Ge1 0.000 0.000 0.000
Ge2 0.000 0.500 0.628